No. 1
Computed, not measured: crystalline Li2Cu3Ge4 at its relaxed geometry at the GGA-PBE level of DFT.

Values from the calculation:
magnetic moment	0.000	Bohr magnetons per cell
DOS at the Fermi energy	10.510	states/eV per cell
ΔE_f	-0.5	eV per formula unit
calculated density	5.7	g/cm3
energy	-0.1431	Ha/atom

Cell and atoms, written as CIF:
```
data_Li2Cu3Ge4
_chemical_formula_sum 'Li8 Cu12 Ge16'
_symmetry_space_group_name_H-M 'C m c e'
_symmetry_Int_Tables_number 64
_symmetry_space_group_name_Hall '-C 2ac 2'
_cell_length_a 5.244
_cell_length_b 13.940
_cell_length_c 7.917
_cell_angle_alpha 90.00
_cell_angle_beta 90.00
_cell_angle_gamma 90.00
loop_
_atom_site_label
_atom_site_fract_x
_atom_site_fract_y
_atom_site_fract_z
Li1 0.000 0.107 0.075
Cu1 0.000 0.000 0.500
Cu2 0.250 0.236 0.750
Ge1 0.000 0.186 0.488
Ge2 0.250 0.054 0.750
```

***

No. 2
Computed, not measured: crystalline MgVGe at its relaxed geometry at the GGA-PBE level of DFT.

Values from the calculation:
magnetic moment	0.002	Bohr magnetons per cell
DOS at the Fermi energy	8.314	states/eV per cell
ΔE_f	-0.2	eV per formula unit
calculated density	5.0	g/cm3
energy	-0.1908	Ha/atom

Cell and atoms, written as CIF:
```
data_MgVGe
_chemical_formula_sum 'Mg4 V4 Ge4'
_symmetry_space_group_name_H-M 'C 1 2/m 1'
_symmetry_Int_Tables_number 12
_cell_length_a 5.849
_cell_length_b 13.150
_cell_length_c 2.781
_cell_angle_alpha 90.00
_cell_angle_beta 112.34
_cell_angle_gamma 90.00
loop_
_symmetry_equiv_pos_as_xyz
'x,y,z'
'-x,-y,-z'
'-x,y,-z'
'x,-y,z'
'x+1/2,y+1/2,z'
'-x+1/2,-y+1/2,-z'
'-x+1/2,y+1/2,-z'
'x+1/2,-y+1/2,z'
loop_
_atom_site_label
_atom_site_fract_x
_atom_site_fract_y
_atom_site_fract_z
Mg1 0.000 0.177 0.000
V1 0.225 0.000 0.740
Ge1 0.000 0.366 0.500
```

***

No. 3
Computed, not measured: crystalline SrScZnMo2 at its relaxed geometry at the GGA-PBE level of DFT.

Values from the calculation:
magnetic moment	1.267	Bohr magnetons per cell
DOS at the Fermi energy	7.589	states/eV per cell
ΔE_f	5.6	eV per formula unit
calculated density	5.5	g/cm3
energy	-0.1861	Ha/atom

Cell and atoms, written as CIF:
```
data_SrScZnMo2
_chemical_formula_sum 'Sr1 Sc1 Zn1 Mo2'
_symmetry_space_group_name_H-M 'P 4/m m m'
_symmetry_Int_Tables_number 123
_symmetry_space_group_name_Hall '-P 4 2'
_cell_length_a 4.841
_cell_length_b 4.841
_cell_length_c 5.048
_cell_angle_alpha 90.00
_cell_angle_beta 90.00
_cell_angle_gamma 90.00
loop_
_atom_site_label
_atom_site_fract_x
_atom_site_fract_y
_atom_site_fract_z
Sr1 0.000 0.000 0.000
Sc1 0.500 0.500 0.000
Zn1 0.500 0.500 0.500
Mo1 0.000 0.500 0.500
```

***

No. 4
Computed, not measured: crystalline Np3Zn4Ga2 at its relaxed geometry at the GGA-PBE level of DFT.

Values from the calculation:
magnetic moment	49.592	Bohr magnetons per cell
DOS at the Fermi energy	65.153	states/eV per cell
ΔE_f	-0.7	eV per formula unit
calculated density	11.1	g/cm3
energy	-0.2068	Ha/atom

Cell and atoms, written as CIF:
```
data_Np3Zn4Ga2
_chemical_formula_sum 'Np12 Zn16 Ga8'
_symmetry_space_group_name_H-M 'C c c m'
_symmetry_Int_Tables_number 66
_symmetry_space_group_name_Hall '-C 2 2c'
_cell_length_a 8.267
_cell_length_b 14.304
_cell_length_c 5.643
_cell_angle_alpha 90.00
_cell_angle_beta 90.00
_cell_angle_gamma 90.00
loop_
_atom_site_label
_atom_site_fract_x
_atom_site_fract_y
_atom_site_fract_z
Np1 0.000 0.000 0.250
Np2 0.000 0.330 0.250
Zn1 0.162 0.499 0.000
Zn2 0.171 0.165 0.000
Ga1 0.168 0.164 0.500
```

***

No. 5
Computed, not measured: crystalline Ce2PuScTe4 at its relaxed geometry at the GGA-PBE level of DFT.

Values from the calculation:
magnetic moment	8.356	Bohr magnetons per cell
DOS at the Fermi energy	23.915	states/eV per cell
calculated density	7.4	g/cm3
energy	-0.2521	Ha/atom

Cell and atoms, written as CIF:
```
data_Ce2PuScTe4
_chemical_formula_sum 'Ce2 Pu1 Sc1 Te4'
_symmetry_space_group_name_H-M 'P 1 2/m 1'
_symmetry_Int_Tables_number 10
_cell_length_a 7.613
_cell_length_b 4.373
_cell_length_c 7.655
_cell_angle_alpha 90.00
_cell_angle_beta 109.14
_cell_angle_gamma 90.00
loop_
_symmetry_equiv_pos_as_xyz
'x,y,z'
'-x,-y,-z'
'-x,y,-z'
'x,-y,z'
loop_
_atom_site_label
_atom_site_fract_x
_atom_site_fract_y
_atom_site_fract_z
Ce1 0.000 0.000 0.000
Ce2 0.500 0.500 0.000
Pu1 0.000 0.500 0.500
Sc1 0.500 0.000 0.500
Te1 0.255 0.000 0.737
Te2 0.265 0.500 0.269
```

***

No. 6
Computed, not measured: crystalline Rb2VBiOs at its relaxed geometry at the GGA-PBE level of DFT.

Values from the calculation:
magnetic moment	2.820	Bohr magnetons per cell
DOS at the Fermi energy	8.133	states/eV per cell
ΔE_f	8.0	eV per formula unit
calculated density	4.1	g/cm3
energy	-0.1335	Ha/atom

Cell and atoms, written as CIF:
```
data_Rb2VBiOs
_chemical_formula_sum 'Rb2 V1 Bi1 Os1'
_symmetry_space_group_name_H-M 'P 4/m m m'
_symmetry_Int_Tables_number 123
_symmetry_space_group_name_Hall '-P 4 2'
_cell_length_a 7.021
_cell_length_b 7.021
_cell_length_c 5.097
_cell_angle_alpha 90.00
_cell_angle_beta 90.00
_cell_angle_gamma 90.00
loop_
_atom_site_label
_atom_site_fract_x
_atom_site_fract_y
_atom_site_fract_z
Rb1 0.000 0.500 0.000
V1 0.000 0.000 0.500
Bi1 0.500 0.500 0.000
Os1 0.500 0.500 0.500
```